1.
NaHfCu after structural relaxation, computed with PBE.

Results
For the calculated total energy, the calculation gives -4.861 eV/atom. For the density of states at the Fermi level, the calculation gives 0.511 states/eV/atom.

Unit cell a=10.931 b=3.192 c=7.759 alpha=90.00 beta=109.86 gamma=90.00
Space group Cm (No. 8)
One atom of each set of equivalent atoms:
Na 0.000 0.000 0.000 [2 per cell]
Na 0.199 0.500 0.851 [2 per cell]
Hf 0.152 0.500 0.406 [2 per cell]
Hf 0.344 0.000 0.292 [2 per cell]
Cu 0.343 0.000 0.636 [2 per cell]
Cu 0.498 0.500 0.554 [2 per cell]

***

2.
NaHfCu3 after structural relaxation, computed with PBE.

Results
For the calculated total energy, the calculation gives -3.788 eV/atom. For the density of states at the Fermi level, the calculation gives 0.770 states/eV/atom.

Unit cell a=5.005 b=5.005 c=5.005 alpha=90.00 beta=90.00 gamma=90.00
Space group Pm-3m (No. 221)
One atom of each set of equivalent atoms:
Na 0.000 0.000 0.000 [1 per cell]
Hf 0.500 0.500 0.500 [1 per cell]
Cu 0.000 0.500 0.500 [3 per cell]

***

3.
Na2HfCuNi after structural relaxation, computed with PBE.

Results
For the calculated total energy, the calculation gives -3.393 eV/atom. For the density of states at the Fermi level, the calculation gives 1.354 states/eV/atom.

Unit cell a=4.747 b=4.747 c=4.628 alpha=90.00 beta=90.00 gamma=90.00
Space group P4/mmm (No. 123)
One atom of each set of equivalent atoms:
Na 0.000 0.500 0.000 [2 per cell]
Hf 0.000 0.000 0.500 [1 per cell]
Cu 0.500 0.500 0.500 [1 per cell]
Ni 0.500 0.500 0.000 [1 per cell]